# PBE ScSn2Ir, optimized geometry
# Magnetization: 0.000 μB/cell
# Final energy: -5.7098 eV/atom
# ΔE_f: 89.7 meV per atom
# Fermi-level density of states: 13.4 states/eV/cell
data_ScSn2Ir
_chemical_formula_sum 'Sc3 Sn6 Ir3'
_cell_length_a 3.2442
_cell_length_b 3.2442
_cell_length_c 30.1381
_cell_angle_alpha 90.00
_cell_angle_beta 90.00
_cell_angle_gamma 120.00
_symmetry_space_group_name_H-M 'R -3 m'
_symmetry_Int_Tables_number 166
_symmetry_space_group_name_Hall '-R 3 2"'
loop_
_atom_site_label
_atom_site_type_symbol
_atom_site_fract_x
_atom_site_fract_y
_atom_site_fract_z
Sc1 Sc 0.0000 0.0000 0.0000
Sn1 Sn 0.0000 0.0000 0.0985
Ir1 Ir 0.0000 0.0000 0.5000